DFT (PBE) results for an optimized crystal structure of Ho7InCo2.

Computed properties:
Density of states at the Fermi level ... 7.81 states/eV/f.u.
Electronic total energy ... -49.54 eV/f.u.
SG ... Cmmm

Cell lengths 4.9278, 7.9652, 7.9652 Å; angles 112.67, 90.00, 90.00 degrees
Closest atoms and distances in Å follow each position.
Positions (direct):
Ho 0.5000 0.9485 0.6845  2 Co 2.73-2.95
Ho 0.0000 0.7075 0.2925  2 Co 2.46
Ho 0.5000 0.6845 0.9485  2 Co 2.73-2.95
Ho 0.5000 0.3155 0.0515  2 Co 2.73-2.95
Ho 0.0000 0.2925 0.7075  2 Co 2.46
Ho 0.5000 0.0515 0.3155  2 Co 2.73-2.95
Ho 0.5000 0.5000 0.5000  2 Co 2.68
Co 0.5000 0.7023 0.2977  5 Ho 2.46-2.73
Co 0.5000 0.2977 0.7023  5 Ho 2.46-2.73
In 0.0000 0.0000 0.0000  8 Ho 3.43